Density functional theory data (PBE-GGA) for NpCrSe3 after structural relaxation.

Lattice parameters (Å, degrees): 3.845 7.220 8.103 94.42 90.00 90.00
Site moments in Bohr magnetons follow the coordinates.
Atoms (fractional coordinates):
Np: 0.250 0.376 0.213  3.83
Np: 0.750 0.624 0.787  3.83
Cr: 0.250 0.852 0.341  3.14
Cr: 0.750 0.148 0.659  3.14
Se: 0.750 0.627 0.396  -0.15
Se: 0.250 0.373 0.604  -0.15
Se: 0.750 0.276 0.957  -0.12
Se: 0.250 0.907 0.659  -0.13
Se: 0.250 0.724 0.043  -0.12
Se: 0.750 0.093 0.341  -0.13

volume: 224 Å³/cell
D(E_F): 18.598 states/eV/cell
uncorrected formation energy: -402 kJ/mol of formula units
total magnetization: 6.970 μB per formula unit